(1)
VASP calculation (PBE) on an optimized crystal structure of KCu4F12.

Its magnetization is 0.00 μB per formula unit. The value obtained for the total DFT energy (no corrections) is -133.88 eV/cell. Its density of states at the Fermi level is 0.4313 states/eV/atom. The raw formation energy is -27.002 eV per formula unit.

The space group is Im-3 (No. 204) and the conventional cell measures 7.704, 7.704 and 7.704 Å, with angles of 90.00, 90.00 and 90.00 degrees. The distinct sites, in fractional coordinates, are K at (0.000, 0.000, 0.000), Cu at (0.250, 0.250, 0.250) and F at (0.000, 0.257, 0.239).

(2)
VASP calculation (PBE) on an optimized crystal structure of Np3WN7.

Its magnetization is 6.01 μB per formula unit. The value obtained for the total DFT energy (no corrections) is -477.81 eV/cell. Its density of states at the Fermi level is 1.5625 states/eV/atom. The raw formation energy is -9.399 eV per formula unit.

The space group is C222_1 (No. 20) and the conventional cell measures 7.351, 10.358 and 7.371 Å, with angles of 90.00, 90.00 and 90.00 degrees. The distinct sites, in fractional coordinates, are Np at (0.008, 0.000, 0.000), Np at (0.233, 0.267, 0.754), W at (0.014, 0.500, 0.000), N at (0.000, 0.127, 0.250), N at (0.000, 0.143, 0.750), N at (0.000, 0.428, 0.750), N at (0.206, 0.373, 0.039) and N at (0.219, 0.372, 0.475).

(3)
VASP calculation (PBE) on an optimized crystal structure of MoAs3Rh.

The value obtained for the formation energy is 0.77 eV per atom. Its magnetization is 0.00 μB per formula unit. The value obtained for the total DFT energy (no corrections) is -28.27 eV/cell. The energy above the most stable polymorph in this dataset comes out at 0.000 eV per atom. Its density of states at the Fermi level is 0.6289 states/eV/atom.

The space group is Pm-3m (No. 221) and the conventional cell measures 4.807, 4.807 and 4.807 Å, with angles of 90.00, 90.00 and 90.00 degrees. The distinct sites, in fractional coordinates, are Mo at (0.000, 0.000, 0.000), As at (0.000, 0.000, 0.500) and Rh at (0.500, 0.500, 0.500).